Record 1
A plane-wave DFT calculation with PBE-GGA was carried out for crystalline LiNd2Ni3As4 at its relaxed geometry.

a b c (Å): 4.238 4.238 9.619
angles (deg): 90.00 90.00 90.00
Fractional positions:
Ni  0.000  0.500  0.115
Ni  0.500  0.000  0.885
As  0.500  0.000  0.635
As  0.500  0.500  0.000
Nd  0.000  0.500  0.752
As  0.000  0.000  0.000
Ni  0.000  0.000  0.500
Li  0.500  0.500  0.500
As  0.000  0.500  0.365
Nd  0.500  0.000  0.248

Calculated values
Symmetry   P-4m2, No. 115
Calculated total energy   -55.947 eV for the cell shown
Density   7.4 Mg/m³

***

Record 2
A plane-wave DFT calculation with PBE-GGA was carried out for crystalline LiNd2Ni4As3 at its relaxed geometry.

a b c (Å): 4.123 4.123 9.634
angles (deg): 90.00 90.00 90.00
Fractional positions:
Nd  0.500  0.000  0.244
As  0.000  0.000  0.500
As  0.000  0.500  0.133
Ni  0.500  0.500  0.000
Nd  0.000  0.500  0.756
Ni  0.000  0.000  0.000
Ni  0.000  0.500  0.377
As  0.500  0.000  0.867
Ni  0.500  0.000  0.623
Li  0.500  0.500  0.500

Calculated values
Symmetry   P-4m2, No. 115
Calculated total energy   -56.269 eV for the cell shown
Density   7.7 Mg/m³

***

Record 3
A plane-wave DFT calculation with PBE-GGA was carried out for crystalline Li2NdAsO4 at its relaxed geometry.

a b c (Å): 3.589 7.246 9.363
angles (deg): 90.00 90.00 104.34
Fractional positions:
O  0.000  0.000  0.500
Nd  0.037  0.074  0.750
Nd  0.963  0.926  0.250
Li  0.581  0.162  0.453
O  0.437  0.875  0.750
Li  0.419  0.838  0.953
O  0.000  0.000  0.000
O  0.666  0.332  0.613
As  0.748  0.497  0.750
Li  0.419  0.838  0.547
O  0.334  0.668  0.113
Li  0.581  0.162  0.047
O  0.666  0.332  0.887
O  0.563  0.125  0.250
O  0.334  0.668  0.387
As  0.252  0.503  0.250

Calculated values
Symmetry   Cmcm, No. 63
Calculated total energy   -98.242 eV for the cell shown
Density   4.2 Mg/m³
Raw formation energy   -2.01 eV/atom

***

Record 4
A plane-wave DFT calculation with PBE-GGA was carried out for crystalline Li2NdAsO at its relaxed geometry.

a b c (Å): 5.975 5.975 6.367
angles (deg): 117.98 117.98 90.00
Fractional positions:
O  0.500  0.500  0.000
Li  0.810  0.690  0.000
Li  0.690  0.190  0.000
Li  0.190  0.310  0.000
Nd  0.750  0.750  0.500
O  0.000  0.000  0.000
As  0.250  0.750  0.500
Nd  0.250  0.250  0.500
Li  0.310  0.810  0.000
As  0.750  0.250  0.500

Calculated values
Symmetry   I4/mcm, No. 140
Calculated total energy   -53.108 eV for the cell shown
Density   4.9 Mg/m³
Raw formation energy   -1.67 eV/atom

***

Record 5
A plane-wave DFT calculation with PBE-GGA was carried out for crystalline LiNdAs2Pd at its relaxed geometry.

a b c (Å): 4.140 4.140 6.297
angles (deg): 109.19 109.19 90.00
Fractional positions:
Nd  0.000  0.000  0.000
Pd  0.250  0.750  0.500
Li  0.750  0.250  0.500
As  0.383  0.383  0.766
As  0.617  0.617  0.234

Calculated values
Symmetry   I-4m2, No. 119
Calculated total energy   -25.787 eV for the cell shown
Density   7.1 Mg/m³

***

Record 6
A plane-wave DFT calculation with PBE-GGA was carried out for crystalline LiNd2As4Pd3 at its relaxed geometry.

a b c (Å): 4.201 4.201 11.034
angles (deg): 90.00 90.00 90.00
Fractional positions:
As  0.000  0.500  0.364
As  0.500  0.000  0.636
Pd  0.500  0.000  0.862
Pd  0.000  0.500  0.138
Nd  0.500  0.000  0.260
As  0.000  0.000  0.000
Nd  0.000  0.500  0.740
Li  0.500  0.500  0.500
Pd  0.000  0.000  0.500
As  0.500  0.500  0.000

Calculated values
Symmetry   P-4m2, No. 115
Calculated total energy   -54.487 eV for the cell shown
Density   7.8 Mg/m³

***

Record 7
A plane-wave DFT calculation with PBE-GGA was carried out for crystalline LiNd2As3Pd4 at its relaxed geometry.

a b c (Å): 4.301 4.301 10.261
angles (deg): 90.00 90.00 90.00
Fractional positions:
Pd  0.000  0.000  0.000
Li  0.500  0.500  0.500
Nd  0.500  0.000  0.241
Pd  0.000  0.500  0.378
As  0.500  0.000  0.860
Pd  0.500  0.000  0.622
Pd  0.500  0.500  0.000
As  0.000  0.500  0.140
Nd  0.000  0.500  0.759
As  0.000  0.000  0.500

Calculated values
Symmetry   P-4m2, No. 115
Calculated total energy   -55.175 eV for the cell shown
Density   8.3 Mg/m³

***

Record 8
A plane-wave DFT calculation with PBE-GGA was carried out for crystalline Li2NdAs2Pd2 at its relaxed geometry.

a b c (Å): 4.307 4.307 8.196
angles (deg): 74.77 74.77 60.00
Fractional positions:
Li  0.141  0.141  0.576
As  0.253  0.253  0.242
Nd  0.000  0.000  0.000
Li  0.859  0.859  0.424
Pd  0.428  0.428  0.716
As  0.747  0.747  0.758
Pd  0.572  0.572  0.284

Calculated values
Symmetry   R-3m, No. 166
Calculated total energy   -34.559 eV for the cell shown
Density   6.9 Mg/m³